No. 1
DFT (PBE) results for a relaxed TbNd2SmTm2 crystal.

a = 5.6669 Å, b = 9.8080 Å, c = 7.0398 Å
α = 90.00°, β = 90.00°, γ = 90.00°
Positions (direct):
1 Tm 0.0000 0.3338 0.7500
2 Tm 0.0000 0.6662 0.2500
3 Tm 0.5000 0.1662 0.2500
4 Nd 0.5000 0.8327 0.2490
5 Nd 0.5000 0.1673 0.7510
6 Tm 0.5000 0.8338 0.7500
7 Sm 0.0000 0.0000 0.5000
8 Tb 0.5000 0.5000 0.5000
9 Nd 0.0000 0.3327 0.2510
10 Tb 0.0000 0.0000 0.0000
11 Nd 0.0000 0.6673 0.7490
12 Sm 0.5000 0.5000 0.0000

crystal system: orthorhombic
formation energy: 68 meV per atom



No. 2
DFT (PBE) results for a relaxed TbNd2Sm6Tm3 crystal.

a = 6.2353 Å, b = 6.2353 Å, c = 11.8804 Å
α = 95.01°, β = 95.01°, γ = 119.99°
Positions (direct):
1 Sm 0.5825 0.9151 0.7456
2 Sm 0.0849 0.4175 0.2544
3 Nd 0.3334 0.6666 0.0000
4 Tm 0.5000 0.5000 0.5000
5 Sm 0.9151 0.5825 0.7456
6 Sm 0.4175 0.0849 0.2544
7 Tm 0.8336 0.1664 0.5000
8 Sm 0.2478 0.2478 0.7454
9 Nd 0.6666 0.3334 0.0000
10 Tm 0.1664 0.8336 0.5000
11 Tb 0.0000 0.0000 0.0000
12 Sm 0.7522 0.7522 0.2546

crystal system: monoclinic
formation energy: 18 meV per atom



No. 3
DFT (PBE) results for a relaxed TbNd2Sm2Tm4 crystal.

a = 3.6019 Å, b = 9.5146 Å, c = 9.5762 Å
α = 115.31°, β = 90.00°, γ = 100.91°
Positions (direct):
1 Tm 0.4803 0.9605 0.6666
2 Tm 0.5197 0.0395 0.3334
3 Sm 0.8531 0.7062 0.3378
4 Nd 0.6655 0.3309 0.0027
5 Sm 0.1469 0.2938 0.6622
6 Tm 0.8151 0.6302 0.6627
7 Tm 0.1849 0.3698 0.3373
8 Nd 0.3345 0.6691 0.9973
9 Tb 0.0000 0.0000 0.0000

crystal system: monoclinic
formation energy: 2 meV per atom



No. 4
DFT (PBE) results for a relaxed TbNd6Sm2Tm crystal.

a = 9.7474 Å, b = 8.9889 Å, c = 8.9889 Å
α = 118.08°, β = 94.01°, γ = 94.01°
Positions (direct):
1 Nd 0.6180 0.4951 0.7087
2 Nd 0.5543 0.7580 0.1214
3 Nd 0.1180 0.7087 0.4951
4 Nd 0.3820 0.5049 0.2913
5 Tm 0.2500 0.4105 0.5895
6 Nd 0.9457 0.8786 0.2420
7 Nd 0.3102 0.9885 0.4309
8 Tb 0.7500 0.0233 0.9767
9 Tm 0.7500 0.5895 0.4105
10 Nd 0.0543 0.1214 0.7580
11 Sm 0.5440 0.1990 0.2991
12 Sm 0.9560 0.7009 0.8010
13 Nd 0.8102 0.4309 0.9885
14 Tb 0.2500 0.9767 0.0233
15 Nd 0.8820 0.2913 0.5049
16 Nd 0.1898 0.5691 0.0115
17 Nd 0.6898 0.0115 0.5691
18 Sm 0.0440 0.2991 0.1990
19 Sm 0.4560 0.8010 0.7009
20 Nd 0.4457 0.2420 0.8786

crystal system: monoclinic
formation energy: 114 meV per atom



No. 5
DFT (PBE) results for a relaxed Tb2NdSm6Tm3 crystal.

a = 6.2183 Å, b = 6.2183 Å, c = 11.8357 Å
α = 95.01°, β = 95.01°, γ = 119.99°
Positions (direct):
1 Tb 0.3334 0.6666 0.0000
2 Tm 0.8331 0.1669 0.5000
3 Sm 0.5813 0.9153 0.7467
4 Tm 0.1669 0.8331 0.5000
5 Sm 0.4187 0.0847 0.2533
6 Sm 0.9153 0.5813 0.7467
7 Tm 0.5000 0.5000 0.5000
8 Sm 0.7509 0.7509 0.2533
9 Nd 0.0000 0.0000 0.0000
10 Sm 0.2491 0.2491 0.7467
11 Tb 0.6666 0.3334 0.0000
12 Sm 0.0847 0.4187 0.2533

crystal system: monoclinic
formation energy: 17 meV per atom



No. 6
DFT (PBE) results for a relaxed Tb2Nd6SmTm3 crystal.

a = 6.2685 Å, b = 6.2685 Å, c = 11.8436 Å
α = 95.04°, β = 95.04°, γ = 120.00°
Positions (direct):
1 Nd 0.4183 0.0846 0.2528
2 Tb 0.6666 0.3334 0.0000
3 Nd 0.5817 0.9154 0.7472
4 Tm 0.1668 0.8332 0.5000
5 Nd 0.9154 0.5817 0.7472
6 Tb 0.3334 0.6666 0.0000
7 Nd 0.2491 0.2491 0.7473
8 Nd 0.7509 0.7509 0.2527
9 Nd 0.0846 0.4183 0.2528
10 Tm 0.5000 0.5000 0.5000
11 Tm 0.8332 0.1668 0.5000
12 Sm 0.0000 0.0000 0.0000

crystal system: monoclinic
formation energy: 14 meV per atom



No. 7
DFT (PBE) results for a relaxed TbNdSm3Tm crystal.

a = 5.8139 Å, b = 6.5132 Å, c = 11.7383 Å
α = 90.00°, β = 90.00°, γ = 116.51°
Positions (direct):
1 Sm 0.8682 0.7363 0.2500
2 Sm 0.6740 0.3479 0.0340
3 Sm 0.3260 0.6521 0.5340
4 Tm 0.8286 0.6571 0.7500
5 Tb 0.0000 0.0000 0.0000
6 Nd 0.4718 0.9437 0.2500
7 Sm 0.1318 0.2637 0.7500
8 Tm 0.1714 0.3429 0.2500
9 Tb 0.0000 0.0000 0.5000
10 Nd 0.5282 0.0563 0.7500
11 Sm 0.6740 0.3479 0.4660
12 Sm 0.3260 0.6521 0.9660

crystal system: orthorhombic
formation energy: 120 meV per atom



No. 8
DFT (PBE) results for a relaxed TbNd6Sm3Tm2 crystal.

a = 6.2961 Å, b = 6.2961 Å, c = 11.9356 Å
α = 95.03°, β = 95.03°, γ = 120.00°
Positions (direct):
1 Nd 0.4166 0.0827 0.2467
2 Tm 0.6667 0.3333 0.0000
3 Sm 0.5000 0.5000 0.5000
4 Nd 0.7487 0.7487 0.2465
5 Tm 0.3333 0.6667 0.0000
6 Sm 0.1666 0.8334 0.5000
7 Tb 0.0000 0.0000 0.0000
8 Nd 0.2513 0.2513 0.7535
9 Nd 0.0827 0.4166 0.2467
10 Nd 0.5834 0.9173 0.7533
11 Nd 0.9173 0.5834 0.7533
12 Sm 0.8334 0.1666 0.5000

crystal system: monoclinic
formation energy: 14 meV per atom



No. 9
DFT (PBE) results for a relaxed Tb2NdSm2Tm2 crystal.

a = 3.4990 Å, b = 6.0160 Å, c = 11.8182 Å
α = 101.28°, β = 90.00°, γ = 106.91°
Positions (direct):
1 Nd 0.0000 0.0000 0.5000
2 Sm 0.5940 0.1879 0.7734
3 Tm 0.7036 0.4072 0.3711
4 Tm 0.2964 0.5928 0.6289
5 Sm 0.4060 0.8121 0.2266
6 Tb 0.6539 0.3077 0.0719
7 Tb 0.3461 0.6923 0.9281

crystal system: monoclinic
formation energy: 151 meV per atom



No. 10
DFT (PBE) results for a relaxed Tb5NdSmTm2 crystal.

a = 5.6161 Å, b = 10.3546 Å, c = 10.5668 Å
α = 90.00°, β = 90.00°, γ = 105.73°
Positions (direct):
1 Tb 0.2811 0.5622 0.3111
2 Tm 0.8892 0.7784 0.2354
3 Tb 0.3904 0.7807 0.0246
4 Tb 0.4776 0.9551 0.7371
5 Nd 0.5840 0.1680 0.9493
6 Tm 0.1143 0.2286 0.3204
7 Tb 0.0170 0.0341 0.0252
8 Tb 0.5224 0.0449 0.2371
9 Tm 0.1108 0.2216 0.7354
10 Tb 0.7189 0.4378 0.8111
11 Nd 0.4160 0.8320 0.4493
12 Tb 0.7015 0.4030 0.2083
13 Sm 0.2002 0.4003 0.0124
14 Sm 0.7998 0.5997 0.5124
15 Tb 0.2985 0.5970 0.7083
16 Tb 0.9830 0.9659 0.5252
17 Tb 0.6096 0.2193 0.5246
18 Tm 0.8857 0.7714 0.8204

crystal system: orthorhombic
formation energy: 159 meV per atom



No. 11
DFT (PBE) results for a relaxed Tb2Nd4Sm2Tm crystal.

a = 5.1271 Å, b = 8.1007 Å, c = 8.0828 Å
α = 107.62°, β = 90.00°, γ = 108.45°
Positions (direct):
1 Tb 0.1109 0.2219 0.6691
2 Sm 0.3339 0.6679 0.0003
3 Nd 0.7777 0.5554 0.6674
4 Sm 0.6661 0.3321 0.9997
5 Nd 0.2223 0.4446 0.3326
6 Tb 0.8891 0.7781 0.3309
7 Tm 0.0000 0.0000 0.0000
8 Nd 0.5545 0.1090 0.3322
9 Nd 0.4455 0.8910 0.6678

crystal system: monoclinic
formation energy: 17 meV per atom



No. 12
DFT (PBE) results for a relaxed TbNd4Sm2Tm2 crystal.

a = 5.1168 Å, b = 8.0966 Å, c = 8.0564 Å
α = 107.56°, β = 90.00°, γ = 108.42°
Positions (direct):
1 Sm 0.8884 0.7768 0.3304
2 Nd 0.2221 0.4442 0.3299
3 Sm 0.1116 0.2232 0.6696
4 Nd 0.7779 0.5558 0.6701
5 Nd 0.5546 0.1091 0.3301
6 Tm 0.3326 0.6652 0.0004
7 Nd 0.4454 0.8909 0.6699
8 Tm 0.6674 0.3348 0.9996
9 Tb 0.0000 0.0000 0.0000

crystal system: monoclinic
formation energy: 22 meV per atom



No. 13
DFT (PBE) results for a relaxed TbNdSm4Tm2 crystal.

a = 9.5301 Å, b = 9.5301 Å, c = 11.8438 Å
α = 128.43°, β = 128.43°, γ = 88.26°
Site moments in Bohr magnetons follow the coordinates.
Positions (direct):
1 Sm 0.7384 0.7448 0.9931  0.06
2 Tm 0.5000 0.5000 0.0000  0.09
3 Nd 0.0000 0.5000 0.0000  0.05
4 Tm 0.5000 0.0000 0.0000  0.05
5 Tm 0.5000 0.0000 0.5000  0.05
6 Sm 0.7477 0.2531 0.9997  0.06
7 Tb 0.5000 0.5000 0.5000  0.09
8 Tm 0.0000 0.0000 0.5000  0.09
9 Tb 0.0000 0.0000 0.0000  0.09
10 Sm 0.7531 0.2477 0.4997  0.06
11 Sm 0.2469 0.7523 0.5003  0.06
12 Sm 0.2448 0.2384 0.4931  0.06
13 Sm 0.2616 0.2552 0.0069  0.06
14 Sm 0.2523 0.7469 0.0003  0.06
15 Nd 0.0000 0.5000 0.5000  0.05
16 Sm 0.7552 0.7616 0.5069  0.06

crystal system: monoclinic
formation energy: 409 meV per atom



No. 14
DFT (PBE) results for a relaxed TbNdSm6Tm2 crystal.

a = 9.6381 Å, b = 8.8681 Å, c = 8.8681 Å
α = 117.27°, β = 93.92°, γ = 93.92°
Positions (direct):
1 Tm 0.4532 0.8031 0.7049
2 Sm 0.3179 0.9827 0.4355
3 Sm 0.8804 0.2944 0.5109
4 Nd 0.2500 0.4070 0.5930
5 Tm 0.9532 0.7049 0.8031
6 Sm 0.9449 0.8877 0.2416
7 Nd 0.7500 0.5930 0.4070
8 Sm 0.6196 0.4891 0.7056
9 Tm 0.0468 0.2951 0.1969
10 Sm 0.3804 0.5109 0.2944
11 Tb 0.2500 0.9700 0.0300
12 Sm 0.0551 0.1123 0.7584
13 Tb 0.7500 0.0300 0.9700
14 Sm 0.4449 0.2416 0.8877
15 Sm 0.5551 0.7584 0.1123
16 Sm 0.1196 0.7056 0.4891
17 Sm 0.8179 0.4355 0.9827
18 Tm 0.5468 0.1969 0.2951
19 Sm 0.1821 0.5645 0.0173
20 Sm 0.6821 0.0173 0.5645

crystal system: monoclinic
formation energy: 119 meV per atom



No. 15
DFT (PBE) results for a relaxed Tb6Nd3SmTm2 crystal.

a = 6.2080 Å, b = 6.2080 Å, c = 11.8757 Å
α = 94.98°, β = 94.98°, γ = 119.98°
Positions (direct):
1 Nd 0.5000 0.5000 0.5000
2 Nd 0.8332 0.1668 0.5000
3 Tb 0.4164 0.0823 0.2462
4 Tb 0.0823 0.4164 0.2462
5 Tm 0.6668 0.3332 0.0000
6 Tb 0.2518 0.2518 0.7539
7 Tb 0.9177 0.5836 0.7538
8 Tb 0.7482 0.7482 0.2461
9 Tm 0.3332 0.6668 0.0000
10 Sm 0.0000 0.0000 0.0000
11 Tb 0.5836 0.9177 0.7538
12 Nd 0.1668 0.8332 0.5000

crystal system: monoclinic
formation energy: 17 meV per atom



No. 16
DFT (PBE) results for a relaxed TbNd2Sm6Tm crystal.

a = 9.7797 Å, b = 8.9088 Å, c = 8.9088 Å
α = 118.15°, β = 94.32°, γ = 94.32°
Positions (direct):
1 Sm 0.6194 0.4977 0.7084
2 Nd 0.9577 0.7013 0.8035
3 Sm 0.8806 0.2916 0.5023
4 Sm 0.6890 0.0166 0.5737
5 Sm 0.9441 0.8757 0.2493
6 Tb 0.7500 0.0196 0.9804
7 Sm 0.5559 0.7507 0.1243
8 Sm 0.0559 0.1243 0.7507
9 Tm 0.2500 0.4084 0.5916
10 Sm 0.4441 0.2493 0.8757
11 Sm 0.3110 0.9834 0.4263
12 Tb 0.2500 0.9804 0.0196
13 Sm 0.8110 0.4263 0.9834
14 Sm 0.1890 0.5737 0.0166
15 Nd 0.0423 0.2987 0.1965
16 Sm 0.3806 0.5023 0.2916
17 Nd 0.5423 0.1965 0.2987
18 Tm 0.7500 0.5916 0.4084
19 Nd 0.4577 0.8035 0.7013
20 Sm 0.1194 0.7084 0.4977

crystal system: monoclinic
formation energy: 115 meV per atom



No. 17
DFT (PBE) results for a relaxed Tb2Nd6SmTm crystal.

a = 9.6885 Å, b = 8.9738 Å, c = 8.9738 Å
α = 117.71°, β = 93.80°, γ = 93.80°
Positions (direct):
1 Nd 0.3115 0.9912 0.4349
2 Nd 0.4457 0.2408 0.8813
3 Sm 0.7500 0.0256 0.9744
4 Nd 0.1178 0.7077 0.4906
5 Nd 0.0543 0.1187 0.7592
6 Nd 0.8822 0.2923 0.5094
7 Tb 0.4541 0.7984 0.6995
8 Nd 0.8115 0.4349 0.9912
9 Sm 0.2500 0.9744 0.0256
10 Nd 0.6885 0.0088 0.5651
11 Tm 0.2500 0.4114 0.5886
12 Tb 0.0459 0.3005 0.2016
13 Nd 0.5543 0.7592 0.1187
14 Nd 0.6178 0.4906 0.7077
15 Tb 0.9541 0.6995 0.7984
16 Tm 0.7500 0.5886 0.4114
17 Nd 0.9457 0.8813 0.2408
18 Tb 0.5459 0.2016 0.3005
19 Nd 0.1885 0.5651 0.0088
20 Nd 0.3822 0.5094 0.2923

crystal system: monoclinic
formation energy: 115 meV per atom



No. 18
DFT (PBE) results for a relaxed TbNd2Sm5Tm crystal.

a = 8.6457 Å, b = 8.6457 Å, c = 10.1952 Å
α = 115.09°, β = 115.09°, γ = 90.00°
Positions (direct):
1 Sm 0.5000 0.5000 0.0000
2 Tb 0.2500 0.2500 0.5000
3 Sm 0.8579 0.9266 0.2845
4 Sm 0.0000 0.0000 0.0000
5 Sm 0.1421 0.0734 0.7155
6 Sm 0.4266 0.3579 0.2845
7 Sm 0.6421 0.1421 0.7155
8 Nd 0.1200 0.3800 0.0000
9 Sm 0.5734 0.6421 0.7155
10 Tm 0.7500 0.2500 0.5000
11 Nd 0.6200 0.1200 0.0000
12 Tm 0.2500 0.7500 0.5000
13 Nd 0.8800 0.6200 0.0000
14 Sm 0.3579 0.8579 0.2845
15 Tb 0.7500 0.7500 0.5000
16 Sm 0.9266 0.4266 0.2845
17 Sm 0.0734 0.5734 0.7155
18 Nd 0.3800 0.8800 0.0000

crystal system: tetragonal
formation energy: 277 meV per atom



No. 19
DFT (PBE) results for a relaxed TbNd4Sm2Tm crystal.

a = 5.1572 Å, b = 5.1342 Å, c = 11.4190 Å
α = 63.21°, β = 90.00°, γ = 90.00°
Positions (direct):
1 Tb 0.5000 0.5000 0.0000
2 Nd 0.0000 0.7521 0.7484
3 Nd 0.5000 0.2510 0.7492
4 Sm 0.5000 0.0000 0.5000
5 Tm 0.0000 0.5000 0.5000
6 Sm 0.0000 0.0000 0.0000
7 Nd 0.5000 0.7490 0.2508
8 Nd 0.0000 0.2479 0.2516

crystal system: monoclinic
formation energy: 14 meV per atom